Here is a relaxed structure of AcV2PbO8 from Alexandria via LeMat-Bulk. Energies are from PBE+U.

Properties
Raw total energy in hartree per atom: -0.2641
DOS at the Fermi energy in states/eV per cell: 4.83

a b c (Å): 5.982 5.982 7.070
angles (deg): 90.00 90.00 120.00
Atoms (fractional coordinates):
Ac (0.000, 0.000, 0.000)
V (0.333, 0.667, 0.333)
V (0.667, 0.333, 0.667)
Pb (0.000, 0.000, 0.500)
O (0.169, 0.339, 0.253)
O (0.169, 0.831, 0.253)
O (0.333, 0.667, 0.565)
O (0.339, 0.169, 0.747)
O (0.661, 0.831, 0.253)
O (0.667, 0.333, 0.435)
O (0.831, 0.169, 0.747)
O (0.831, 0.661, 0.747)